Below is a geometry-optimized InTc2HgBr structure, with properties calculated at the GGA-PBE level.

## Properties
raw formation energy = 1589 meV per atom
symmetry = P4/mmm (123)

POSCAR file:
```
InTc2HgBr
1.0
-3.815 -3.176 1.806
2.146 0.415 5.262
-3.065 4.203 0.918
Tc Hg Br In
2 1 1 1
direct
0.000 0.000 0.500
0.500 0.000 0.000
0.500 0.500 0.500
0.000 0.500 0.000
0.000 0.000 0.000
```

Below is a geometry-optimized In4HgTe2Br structure, with properties calculated at the GGA-PBE level.

## Properties
raw formation energy = -291 meV per atom
symmetry = Imma (74)

POSCAR file:
```
In4HgTe2Br
1.0
8.981 0.050 -0.018
0.044 8.981 -0.018
-4.498 -4.501 6.400
In Hg Te Br
8 2 4 2
direct
0.253 0.763 0.008
0.737 0.247 0.492
0.263 0.753 0.508
0.747 0.237 0.992
0.746 0.754 0.000
0.746 0.754 0.500
0.254 0.246 0.500
0.254 0.246 0.000
0.500 0.500 0.500
0.000 0.000 0.000
0.500 0.000 0.000
0.500 0.000 0.500
0.000 0.000 0.500
0.500 0.500 0.000
0.000 0.500 0.000
0.000 0.500 0.500
```

Below is a geometry-optimized ThInHgBr6 structure, with properties calculated at the GGA-PBE level.

## Properties
raw formation energy = -1147 meV per atom
symmetry = P-31c (163)

POSCAR file:
```
ThInHgBr6
1.0
-5.535 1.706 -4.828
6.734 -2.179 -2.601
-5.521 -17.317 0.212
Th In Hg Br
2 2 2 12
direct
0.667 0.333 0.250
0.333 0.667 0.750
0.333 0.667 0.250
0.667 0.333 0.750
0.000 0.000 0.000
0.000 0.000 0.500
0.633 0.626 0.159
0.993 0.367 0.159
0.367 0.993 0.659
0.007 0.633 0.841
0.374 0.367 0.341
0.993 0.626 0.341
0.626 0.993 0.841
0.633 0.007 0.341
0.007 0.374 0.659
0.374 0.007 0.159
0.626 0.633 0.659
0.367 0.374 0.841
```

Below is a geometry-optimized TiIn3Hg2Br6 structure, with properties calculated at the GGA-PBE level.

## Properties
raw formation energy = -683 meV per atom
symmetry = C2/m (12)

POSCAR file:
```
TiIn3Hg2Br6
1.0
-2.198 -1.031 6.545
0.007 -7.823 -1.230
7.449 3.529 3.087
Ti In Hg Br
1 3 2 6
direct
0.500 0.000 0.000
0.000 0.500 0.000
0.500 0.500 0.500
0.500 0.000 0.500
0.245 0.652 0.303
0.755 0.348 0.697
0.706 0.304 0.148
0.294 0.696 0.852
0.733 0.871 0.741
0.267 0.129 0.259
0.294 0.157 0.852
0.706 0.843 0.148
```

Below is a geometry-optimized TlInHgBr2 structure, with properties calculated at the GGA-PBE level.

## Properties
raw formation energy = -435 meV per atom
symmetry = P4/mmm (123)

POSCAR file:
```
TlInHgBr2
1.0
5.985 0.000 0.000
0.000 5.985 0.000
0.000 0.000 5.550
Tl Hg Br In
1 1 2 1
direct
0.500 0.500 0.500
0.000 0.000 0.500
0.000 0.500 0.000
0.500 0.000 0.000
0.000 0.000 0.000
```

Below is a geometry-optimized TlInHgBr4 structure, with properties calculated at the GGA-PBE level.

## Properties
raw formation energy = -703 meV per atom
symmetry = C2/m (12)

POSCAR file:
```
TlInHgBr4
1.0
0.514 -8.254 4.774
7.999 -4.979 -1.552
5.678 0.282 6.864
Tl In Hg Br
2 2 2 8
direct
0.294 0.294 0.800
0.706 0.706 0.200
0.687 0.687 0.710
0.313 0.313 0.290
0.066 0.066 0.111
0.934 0.934 0.889
0.165 0.165 0.574
0.835 0.835 0.426
0.129 0.515 0.104
0.448 0.448 0.364
0.485 0.871 0.896
0.515 0.129 0.104
0.552 0.552 0.636
0.871 0.485 0.896
```

Below is a geometry-optimized Tl2InHgBr6 structure, with properties calculated at the GGA-PBE level.

## Properties
raw formation energy = -697 meV per atom
symmetry = R3 (146)

POSCAR file:
```
Tl2InHgBr6
1.0
7.883 -0.001 -0.001
3.941 6.828 -0.001
3.940 2.276 6.627
Tl In Hg Br
2 1 1 6
direct
0.536 0.535 0.393
0.034 0.034 0.898
0.321 0.321 0.037
0.819 0.819 0.544
0.571 0.149 0.266
0.149 0.014 0.266
0.014 0.571 0.266
0.492 0.635 0.782
0.635 0.092 0.782
0.092 0.492 0.782
```

Below is a geometry-optimized TlIn2Hg2Br6 structure, with properties calculated at the GGA-PBE level.

## Properties
raw formation energy = -564 meV per atom
symmetry = C2/m (12)

POSCAR file:
```
TlIn2Hg2Br6
1.0
8.793 0.000 0.000
-4.396 6.120 -0.314
0.000 -3.799 8.320
Tl In Hg Br
1 2 2 6
direct
0.500 0.000 0.500
0.995 0.990 0.842
0.005 0.010 0.158
0.630 0.261 0.049
0.370 0.739 0.951
0.789 0.578 0.577
0.105 0.766 0.212
0.339 0.234 0.788
0.895 0.234 0.788
0.661 0.766 0.212
0.211 0.422 0.423
```

Which value of raw formation energy does entry 8 give?
-564 meV per atom

Look up the raw formation energy of the fourth one.
-683 meV per atom